Record 1
K5Rb3I12 | GGA-PBE | relaxed

The structure in extended XYZ format:
```
80
Lattice="-1.0818 -17.9792 2.8534 17.2284 4.5053 -3.9303 -5.3280 8.8695 15.0169" Properties=species:S:1:pos:R:3 pbc="T T T"
I 2.3488 4.4708 11.5170
I 14.5589 -10.1196 -0.2878
I -3.7403 5.5154 14.2277
I 6.3041 -3.6406 0.7566
I 9.5828 5.6855 5.9842
I 3.6700 -5.0126 8.9755
I 0.0912 -0.5519 14.1006
I 1.2358 -10.2897 7.9557
I 2.3122 -3.2804 5.0091
I 7.1486 0.4083 4.9644
I 1.3990 -12.0702 2.4948
I 11.8916 -0.2778 8.1348
I 8.5064 -1.3239 8.9308
I 10.2022 -7.7635 7.8477
I 2.7173 8.0342 10.9222
I 10.7274 -4.0523 -0.1607
I 13.8140 5.5942 1.9545
I 11.8265 -3.1155 4.5965
I -3.9410 -8.5026 15.0541
I 9.4196 7.4659 11.4451
I 0.6164 3.1592 6.0922
I 8.0809 3.1492 11.0583
I 9.1681 -5.8624 10.7639
I 0.2462 -5.8147 9.8820
I 10.8909 -0.4493 -0.5832
I 10.5724 1.2104 4.0579
I 4.4008 -4.5279 13.8690
I 6.4178 -0.0763 0.0709
I -1.0730 -4.3264 5.8051
I 2.4658 -0.6479 8.7001
I 7.1435 8.3270 8.7498
I 14.7596 3.8983 -1.1142
I 2.7377 -7.7534 2.8816
I 4.8089 -8.5749 5.7491
I 13.3585 -8.4229 2.6900
I 4.5145 -0.9637 13.1833
I -2.5399 3.8186 11.2499
I -2.9955 -10.1985 11.9854
I -1.0079 -1.4888 9.3434
I 8.1013 -12.6384 3.0177
I 3.6751 -12.9313 5.1901
I 1.6504 1.2582 3.1760
I 6.0097 3.9706 8.1908
I -0.8739 -9.2243 5.1987
I -0.0724 -4.1550 14.5231
I 8.4697 -9.0751 2.4229
I 11.6925 4.6200 8.7412
I 8.3528 -3.9563 5.2398
Rb 11.3087 -11.2441 1.4261
Rb -0.4901 6.6398 12.5138
Rb 1.7885 -2.8953 11.5721
Rb 10.9436 8.3469 8.1803
Rb 9.0301 -1.7090 2.3678
Rb 1.6330 -6.7846 6.4321
Rb 5.8353 6.0819 11.3966
Rb -0.1149 -0.6055 5.8534
Rb -0.1250 -12.9512 5.7596
Rb 4.9833 -10.6862 2.5433
Rb 9.1856 2.1803 7.5078
Rb 10.9335 -3.9987 8.0865
K 0.0000 0.0000 0.0000
K -3.3198 -5.1604 14.7885
K -2.6640 4.4348 7.5084
K 3.2354 -4.5072 1.9645
K 10.7880 4.4577 3.0402
K -3.2049 -4.5548 8.9351
K 2.8602 2.7382 8.6250
K 14.1384 0.5561 -0.8486
K 8.6142 2.2527 -1.9652
K 8.0733 -6.7369 -0.5385
K -2.2481 0.4731 11.8414
K 5.4093 -2.3021 6.9700
K 5.8252 -6.2638 11.3029
K 7.9584 -7.3425 5.3149
K 5.9502 6.6874 5.5433
K 7.5832 -0.0971 11.9754
K 0.0305 -9.0620 10.8997
K 4.9934 1.6595 2.6370
K 13.0667 -5.0774 2.0985
K -0.5409 -8.9896 1.4267
```

Summary:
As for the volume: 58.36 Å³ per atom. The calculation puts the energy relative to the elements, uncorrected at -983 meV per atom.


Record 2
Pa2PbC2N6 | GGA-PBE | relaxed

The structure in extended XYZ format:
```
11
Lattice="6.1233 -0.4701 0.1033 2.6949 4.8358 0.0584 0.2894 -2.7985 5.1890" Properties=species:S:1:pos:R:3 pbc="T T T"
C 5.7785 0.4107 1.3744
C 3.3290 1.1566 3.9763
N 6.9333 1.1220 1.1501
N 4.6286 0.9871 0.9329
N 5.8191 -0.8216 1.9660
N 4.4790 0.5801 4.4178
N 2.1742 0.4453 4.2006
N 3.2884 2.3888 3.3846
Pa 2.9000 2.4036 1.0729
Pa 6.2075 -0.8364 4.2777
Pb 3.2063 -1.6343 2.6462
```

Summary:
As for the volume: 14.57 Å³ per atom. The calculation puts the energy relative to the elements, uncorrected at -554 meV per atom.